i:
This record from Alexandria via LeMat-Bulk describes a geometry-optimized MgAlCd3 structure. The functional is GGA-PBE.

Values from the calculation:
Calculated volume, Å³/cell: 149.7
Size of the total moment, μB per atom: 0.000
Space-group type: Pm-3m (221)
Density, Mg/m³: 4.31

Lattice parameters (Å, degrees): 5.3102 5.3102 5.3102 90.00 90.00 90.00
Closest atoms and distances in Å follow each position.
Fractional coordinates of all 5 atoms:
1 Mg 0.0000 0.0000 0.0000  6 Cd 2.66
2 Al 0.5000 0.5000 0.5000  12 Cd 3.75
3 Cd 0.0000 0.0000 0.5000  2 Mg 2.66
4 Cd 0.0000 0.5000 0.0000  2 Mg 2.66
5 Cd 0.5000 0.0000 0.0000  2 Mg 2.66

=====

ii:
This record from Alexandria via LeMat-Bulk describes a geometry-optimized MgAlCd3 structure. The functional is GGA-PBE.

Values from the calculation:
Calculated volume, Å³/cell: 144.6
Size of the total moment, μB per atom: 0.000
Space-group type: Pm-3m (221)
Density, Mg/m³: 4.46

Lattice parameters (Å, degrees): 5.2484 5.2484 5.2484 90.00 90.00 90.00
Closest atoms and distances in Å follow each position.
Fractional coordinates of all 5 atoms:
1 Mg 0.0000 0.0000 0.0000  12 Cd 3.71
2 Al 0.5000 0.5000 0.5000  6 Cd 2.62
3 Cd 0.0000 0.5000 0.5000  2 Al 2.62
4 Cd 0.5000 0.0000 0.5000  2 Al 2.62
5 Cd 0.5000 0.5000 0.0000  2 Al 2.62

=====

What should be chosen as the least stable of them? Choose i.

=====

i:
This record from Alexandria via LeMat-Bulk describes a geometry-optimized Mg3AlCd structure. The functional is GGA-PBE.

Values from the calculation:
Calculated volume, Å³/cell: 141.9
Size of the total moment, μB per atom: 0.000
Space-group type: Pm-3m (221)
Density, Mg/m³: 2.48

Lattice parameters (Å, degrees): 5.2163 5.2163 5.2163 90.00 90.00 90.00
Closest atoms and distances in Å follow each position.
Fractional coordinates of all 5 atoms:
1 Mg 0.0000 0.0000 0.5000  2 Cd 2.61
2 Mg 0.0000 0.5000 0.0000  2 Cd 2.61
3 Mg 0.5000 0.0000 0.0000  2 Cd 2.61
4 Al 0.5000 0.5000 0.5000  12 Mg 3.69
5 Cd 0.0000 0.0000 0.0000  6 Mg 2.61

=====

ii:
This record from Alexandria via LeMat-Bulk describes a geometry-optimized Mg3AlCd structure. The functional is GGA-PBE.

Values from the calculation:
Calculated volume, Å³/cell: 230.4
Size of the total moment, μB per atom: 0.000
Space-group type: Pmmn (59)
Density, Mg/m³: 3.06

Lattice parameters (Å, degrees): 4.7172 5.9098 8.2632 90.00 90.00 90.00
Closest atoms and distances in Å follow each position.
Fractional coordinates of all 10 atoms:
1 Mg 0.2500 0.0010 0.2444  5 Mg 2.94-3.15, 3 Cd 2.97-3.14, 2 Al 3.00
2 Mg 0.2500 0.4990 0.2444  5 Mg 2.94-3.15, 3 Cd 2.97-3.14, 2 Al 3.00
3 Mg 0.2500 0.7500 0.5771  4 Al 2.87-2.98, 1 Cd 2.94, 6 Mg 3.12-3.15
4 Mg 0.7500 0.2500 0.4229  4 Al 2.87-2.98, 1 Cd 2.94, 6 Mg 3.12-3.15
5 Mg 0.7500 0.5010 0.7556  5 Mg 2.94-3.15, 3 Cd 2.97-3.14, 2 Al 3.00
6 Mg 0.7500 0.9990 0.7556  5 Mg 2.94-3.15, 3 Cd 2.97-3.14, 2 Al 3.00
7 Al 0.2500 0.2500 0.6204  8 Mg 2.87-3.00
8 Al 0.7500 0.7500 0.3796  8 Mg 2.87-3.00
9 Cd 0.2500 0.7500 0.9328  7 Mg 2.94-3.14
10 Cd 0.7500 0.2500 0.0672  7 Mg 2.94-3.14

=====

What should be chosen as the least stable of them? Choose i.

=====

i:
This record from Alexandria via LeMat-Bulk describes a geometry-optimized Mg3AlCd structure. The functional is GGA-PBE.

Values from the calculation:
Calculated volume, Å³/cell: 210.3
Size of the total moment, μB per atom: 0.000
Space-group type: C2/m (12)
Density, Mg/m³: 3.35

Lattice parameters (Å, degrees): 5.4518 5.4518 9.6652 90.22 90.22 47.05
Closest atoms and distances in Å follow each position.
Fractional coordinates of all 10 atoms:
1 Mg 0.0515 0.0515 0.3466  1 Al 3.04, 6 Mg 3.10-3.23, 5 Cd 3.11-3.13
2 Mg 0.2545 0.2545 0.7615  3 Al 2.99-3.03, 6 Mg 3.09-3.23, 3 Cd 3.13-3.22
3 Mg 0.4425 0.4425 0.1405  6 Mg 2.95-3.17, 5 Al 2.96-3.12, 1 Cd 3.08
4 Mg 0.5575 0.5575 0.8595  6 Mg 2.95-3.17, 5 Al 2.96-3.12, 1 Cd 3.08
5 Mg 0.7455 0.7455 0.2385  3 Al 2.99-3.03, 6 Mg 3.09-3.23, 3 Cd 3.13-3.22
6 Mg 0.9485 0.9485 0.6534  1 Al 3.04, 6 Mg 3.10-3.23, 5 Cd 3.11-3.13
7 Al 0.1433 0.1433 0.0477  9 Mg 2.96-3.12, 3 Al 3.01-3.19
8 Al 0.8567 0.8567 0.9523  9 Mg 2.96-3.12, 3 Al 3.01-3.19
9 Cd 0.3508 0.3508 0.4444  9 Mg 3.08-3.22, 3 Cd 3.16-3.17
10 Cd 0.6492 0.6492 0.5556  9 Mg 3.08-3.22, 3 Cd 3.16-3.17

=====

ii:
This record from Alexandria via LeMat-Bulk describes a geometry-optimized Mg3AlCd structure. The functional is GGA-PBE.

Values from the calculation:
Calculated volume, Å³/cell: 141.5
Size of the total moment, μB per atom: 0.000
Space-group type: Pm-3m (221)
Density, Mg/m³: 2.49

Lattice parameters (Å, degrees): 5.2110 5.2110 5.2110 90.00 90.00 90.00
Closest atoms and distances in Å follow each position.
Fractional coordinates of all 5 atoms:
1 Mg 0.0000 0.0000 0.5000  2 Al 2.61
2 Mg 0.0000 0.5000 0.0000  2 Al 2.61
3 Mg 0.5000 0.0000 0.0000  2 Al 2.61
4 Al 0.0000 0.0000 0.0000  6 Mg 2.61
5 Cd 0.5000 0.5000 0.5000  12 Mg 3.68

=====

What should be chosen as the least stable of them? Choose ii.

=====

i:
This record from Alexandria via LeMat-Bulk describes a geometry-optimized Mg5AlCd structure. The functional is GGA-PBE.

Values from the calculation:
Calculated volume, Å³/cell: 162.9
Size of the total moment, μB per atom: 0.000
Space-group type: P4/mmm (123)
Density, Mg/m³: 2.66

Lattice parameters (Å, degrees): 4.6172 4.6172 7.6434 90.00 90.00 90.00
Closest atoms and distances in Å follow each position.
Fractional coordinates of all 7 atoms:
1 Mg 0.0000 0.0000 0.0000  8 Mg 3.17, 4 Cd 3.26
2 Mg 0.0000 0.5000 0.2840  2 Al 2.84, 2 Cd 3.17, 2 Mg 3.17
3 Mg 0.0000 0.5000 0.7160  2 Al 2.84, 2 Cd 3.17, 2 Mg 3.17
4 Mg 0.5000 0.0000 0.2840  2 Al 2.84, 2 Cd 3.17, 2 Mg 3.17
5 Mg 0.5000 0.0000 0.7160  2 Al 2.84, 2 Cd 3.17, 2 Mg 3.17
6 Al 0.5000 0.5000 0.5000  8 Mg 2.84
7 Cd 0.5000 0.5000 0.0000  12 Mg 3.17-3.26

=====

ii:
This record from Alexandria via LeMat-Bulk describes a geometry-optimized Mg5AlCd structure. The functional is GGA-PBE.

Values from the calculation:
Calculated volume, Å³/cell: 324.9
Size of the total moment, μB per atom: 0.000
Space-group type: C2/c (15)
Density, Mg/m³: 2.67

Lattice parameters (Å, degrees): 7.1555 7.1555 7.0494 108.17 108.17 88.37
Closest atoms and distances in Å follow each position.
Fractional coordinates of all 14 atoms:
1 Mg 0.0868 0.9132 0.7500  1 Al 2.72, 2 Cd 2.90
2 Mg 0.1698 0.3456 0.1258  2 Al 2.98-3.19, 5 Mg 3.01-3.31, 1 Cd 3.12
3 Mg 0.3173 0.5955 0.9213  1 Al 2.78, 4 Mg 2.92-3.10, 2 Cd 3.01-3.03
4 Mg 0.3456 0.1698 0.6258  2 Al 2.98-3.19, 5 Mg 3.01-3.31, 1 Cd 3.12
5 Mg 0.4045 0.6827 0.5787  1 Al 2.78, 4 Mg 2.92-3.10, 2 Cd 3.01-3.03
6 Mg 0.5955 0.3173 0.4213  1 Al 2.78, 4 Mg 2.92-3.10, 2 Cd 3.01-3.03
7 Mg 0.6544 0.8302 0.3742  2 Al 2.98-3.19, 5 Mg 3.01-3.31, 1 Cd 3.12
8 Mg 0.6827 0.4045 0.0787  1 Al 2.78, 4 Mg 2.92-3.10, 2 Cd 3.01-3.03
9 Mg 0.8302 0.6544 0.8742  2 Al 2.98-3.19, 5 Mg 3.01-3.31, 1 Cd 3.12
10 Mg 0.9132 0.0868 0.2500  1 Al 2.72, 2 Cd 2.90
11 Al 0.1858 0.8142 0.2500  5 Mg 2.72-2.98
12 Al 0.8142 0.1858 0.7500  5 Mg 2.72-2.98
13 Cd 0.0000 0.5000 0.5000  8 Mg 2.90-3.12
14 Cd 0.5000 0.0000 0.0000  8 Mg 2.90-3.12

=====

What should be chosen as the least stable of them? Choose ii.

=====

i:
This record from Alexandria via LeMat-Bulk describes a geometry-optimized MnAlCd3 structure. The functional is GGA-PBE.

Values from the calculation:
Calculated volume, Å³/cell: 138.1
Size of the total moment, μB per atom: 0.900
Space-group type: Pm-3m (221)
Density, Mg/m³: 5.04

Lattice parameters (Å, degrees): 5.1694 5.1694 5.1694 90.00 90.00 90.00
Closest atoms and distances in Å follow each position.
Fractional coordinates of all 5 atoms:
1 Mn 0.0000 0.0000 0.0000  12 Cd 3.66
2 Al 0.5000 0.5000 0.5000  6 Cd 2.58
3 Cd 0.0000 0.5000 0.5000  2 Al 2.58
4 Cd 0.5000 0.0000 0.5000  2 Al 2.58
5 Cd 0.5000 0.5000 0.0000  2 Al 2.58

=====

ii:
This record from Alexandria via LeMat-Bulk describes a geometry-optimized MnAlCd3 structure. The functional is GGA-PBE.

Values from the calculation:
Calculated volume, Å³/cell: 138.4
Size of the total moment, μB per atom: 0.695
Space-group type: Pm-3m (221)
Density, Mg/m³: 5.03

Lattice parameters (Å, degrees): 5.1730 5.1730 5.1730 90.00 90.00 90.00
Closest atoms and distances in Å follow each position.
Fractional coordinates of all 5 atoms:
1 Mn 0.0000 0.0000 0.0000  6 Cd 2.59
2 Al 0.5000 0.5000 0.5000  12 Cd 3.66
3 Cd 0.0000 0.0000 0.5000  2 Mn 2.59
4 Cd 0.0000 0.5000 0.0000  2 Mn 2.59
5 Cd 0.5000 0.0000 0.0000  2 Mn 2.59

=====

What should be chosen as the least stable of them? Choose i.

=====

i:
This record from Alexandria via LeMat-Bulk describes a geometry-optimized Mn3AlCd structure. The functional is GGA-PBE.

Values from the calculation:
Calculated volume, Å³/cell: 94.6
Size of the total moment, μB per atom: 1.954
Space-group type: Pm-3m (221)
Density, Mg/m³: 5.34

Lattice parameters (Å, degrees): 4.5567 4.5567 4.5567 90.00 90.00 90.00
Closest atoms and distances in Å follow each position.
Fractional coordinates of all 5 atoms:
1 Mn 0.0000 0.0000 0.5000  2 Al 2.28
2 Mn 0.0000 0.5000 0.0000  2 Al 2.28
3 Mn 0.5000 0.0000 0.0000  2 Al 2.28
4 Al 0.0000 0.0000 0.0000  6 Mn 2.28
5 Cd 0.5000 0.5000 0.5000  12 Mn 3.22

=====

ii:
This record from Alexandria via LeMat-Bulk describes a geometry-optimized Mn3AlCd structure. The functional is GGA-PBE.

Values from the calculation:
Calculated volume, Å³/cell: 120.4
Size of the total moment, μB per atom: 2.372
Space-group type: Pm-3m (221)
Density, Mg/m³: 4.20

Lattice parameters (Å, degrees): 4.9376 4.9376 4.9376 90.00 90.00 90.00
Closest atoms and distances in Å follow each position.
Fractional coordinates of all 5 atoms:
1 Mn 0.0000 0.0000 0.5000  2 Cd 2.47
2 Mn 0.0000 0.5000 0.0000  2 Cd 2.47
3 Mn 0.5000 0.0000 0.0000  2 Cd 2.47
4 Al 0.5000 0.5000 0.5000  12 Mn 3.49
5 Cd 0.0000 0.0000 0.0000  6 Mn 2.47

=====

What should be chosen as the least stable of them? Choose ii.